Density functional theory data (GGA-PBE) for an optimized crystal structure of V3HgP.

abc: 4.4098 4.4098 4.4098
angles: 90.00 90.00 90.00
Space group Pm-3m (No. 221)
Asymmetric unit:
1 V 0.0000 0.0000 0.5000 [3 per cell]
2 Hg 0.5000 0.5000 0.5000 [1 per cell]
3 P 0.0000 0.0000 0.0000 [1 per cell]

Properties
As for the total energy: -32.07 eV for the cell shown. For the total magnetization, the calculation gives 0.8334 μB/atom.

Density functional theory data (GGA-PBE) for an optimized crystal structure of VHg2P.

abc: 8.7516 8.7516 4.7509
angles: 90.00 90.00 90.00
Space group I-42d (No. 122)
Asymmetric unit:
1 V 0.0000 0.0000 0.0000 [4 per cell]
2 Hg 0.1650 0.7500 0.6250 [8 per cell]
3 P 0.0000 0.0000 0.5000 [4 per cell]

Properties
As for the total energy: -53.74 eV for the cell shown. For the total magnetization, the calculation gives 0.6719 μB/atom.

What is the formula in the second record?
VHg2P

The highest total magnetization belongs to which entry?
V3HgP